(1)
VASP calculation (SCAN) on a PBEsol-optimized structure of SiOsPb.

```
data_SiOsPb
_chemical_formula_sum 'Si4 Os4 Pb4'
_space_group_name_H-M_alt 'F -4 3 m'
_space_group_IT_number 216
_space_group_name_Hall 'F -4 2 3'
_cell_length_a 6.3132
_cell_length_b 6.3132
_cell_length_c 6.3132
_cell_angle_alpha 90.00
_cell_angle_beta 90.00
_cell_angle_gamma 90.00
loop_
_atom_site_label
_atom_site_type_symbol
_atom_site_fract_x
_atom_site_fract_y
_atom_site_fract_z
Si1 Si 0.0000 0.0000 0.0000
Os1 Os 0.0000 0.0000 0.5000
Pb1 Pb 0.2500 0.2500 0.2500
```

E_tot (eV per atom): -50.855
Crystal system: cubic
Total magnetization (Bohr magnetons per cell): 0.01

***

(2)
VASP calculation (SCAN) on a PBEsol-optimized structure of SnOs3Pb.

```
data_SnOs3Pb
_chemical_formula_sum 'Sn1 Os3 Pb1'
_space_group_name_H-M_alt 'P m -3 m'
_space_group_IT_number 221
_space_group_name_Hall '-P 4 2 3'
_cell_length_a 4.8378
_cell_length_b 4.8378
_cell_length_c 4.8378
_cell_angle_alpha 90.00
_cell_angle_beta 90.00
_cell_angle_gamma 90.00
loop_
_atom_site_label
_atom_site_type_symbol
_atom_site_fract_x
_atom_site_fract_y
_atom_site_fract_z
Sn1 Sn 0.0000 0.0000 0.0000
Os1 Os 0.0000 0.0000 0.5000
Pb1 Pb 0.5000 0.5000 0.5000
```

E_tot (eV per atom): -62.942
Energy of formation from the pure elements (eV/atom): 2.527
Crystal system: cubic
Total magnetization (Bohr magnetons per cell): 2.92

***

(3)
VASP calculation (SCAN) on a PBEsol-optimized structure of Sn2OsPb2.

```
data_Sn2OsPb2
_chemical_formula_sum 'Sn4 Os2 Pb4'
_space_group_name_H-M_alt 'I 4/m m m'
_space_group_IT_number 139
_space_group_name_Hall '-I 4 2'
_cell_length_a 3.9221
_cell_length_b 3.9221
_cell_length_c 17.1243
_cell_angle_alpha 90.00
_cell_angle_beta 90.00
_cell_angle_gamma 90.00
loop_
_atom_site_label
_atom_site_type_symbol
_atom_site_fract_x
_atom_site_fract_y
_atom_site_fract_z
Sn1 Sn 0.0000 0.0000 0.0820
Os1 Os 0.0000 0.0000 0.5000
Pb1 Pb 0.0000 0.5000 0.2500
```

E_tot (eV per atom): -57.969
Energy of formation from the pure elements (eV/atom): 1.088
Crystal system: tetragonal
Total magnetization (Bohr magnetons per cell): 2.09